Record 1
Computed, not measured: a geometry-optimized GdInAgBi structure at the GGA-PBE level of DFT.

Lattice parameters (Å, degrees): 5.337 5.337 5.337 60.00 60.00 60.00
Atoms (fractional coordinates):
In1 0.500 0.500 0.500
Gd1 0.000 0.000 0.000
Bi1 0.750 0.750 0.750
Ag1 0.250 0.250 0.250

## Properties
**E_form**: -0.2071 eV/atom
**N(E_F)**: 2.917 states/eV/f.u.

Record 2
Computed, not measured: a geometry-optimized Np3Ga12Ni structure at the GGA-PBE level of DFT.

Lattice parameters (Å, degrees): 4.246 4.246 16.272 90.00 90.00 90.00
Atoms (fractional coordinates):
Np1 0.000 0.000 0.767
Ga1 0.500 0.000 0.633
Ga2 0.500 0.000 0.897
Ga3 0.500 0.000 0.367
Np2 0.000 0.000 0.500
Ga4 0.000 0.500 0.633
Ga5 0.500 0.500 0.759
Ga6 0.500 0.000 0.103
Ga7 0.500 0.500 0.000
Ni1 0.000 0.000 0.000
Ga8 0.000 0.500 0.103
Ga9 0.000 0.500 0.367
Np3 0.000 0.000 0.233
Ga10 0.500 0.500 0.500
Ga11 0.000 0.500 0.897
Ga12 0.500 0.500 0.241

## Properties
**E_form**: -0.1636 eV/atom
**N(E_F)**: 27.223 states/eV/f.u.